(1)
Nd3Ti: optimized geometry, PBE.

Results
- V (Å³/f.u.) = 119
- density (kg/m3) = 6679
- relative energy among the computed polymorphs (eV per formula unit) = 0.00
- E_tot (eV/cell) = -21.20
- E_form (kJ/mol of formula units) = 96

Unit cell a=4.925 b=4.925 c=4.925 alpha=90.00 beta=90.00 gamma=90.00
Positions (direct):
Nd 0.000 0.000 0.500
Nd 0.000 0.500 0.000
Nd 0.500 0.000 0.000
Ti 0.500 0.500 0.500


(2)
Tb5Dy4Zr: optimized geometry, PBE.

Results
- V (Å³/f.u.) = 311
- density (kg/m3) = 8198
- E_tot (eV/cell) = -48.92
- E_form (kJ/mol of formula units) = 115

Unit cell a=8.936 b=8.936 c=10.792 alpha=106.57 beta=106.57 gamma=22.17
Positions (direct):
Tb 0.000 0.000 0.000
Tb 0.295 0.295 0.901
Tb 0.397 0.397 0.220
Tb 0.603 0.603 0.780
Tb 0.705 0.705 0.099
Dy 0.194 0.194 0.581
Dy 0.409 0.409 0.687
Dy 0.591 0.591 0.313
Dy 0.806 0.806 0.419
Zr 0.000 0.000 0.500


(3)
In2GaSnHg2: optimized geometry, PBE.

Results
- V (Å³/f.u.) = 154
- density (kg/m3) = 8849
- E_tot (eV/cell) = -25.64
- E_form (kJ/mol of formula units) = 28

Unit cell a=4.219 b=10.726 c=6.795 alpha=90.00 beta=90.00 gamma=90.00
Positions (direct):
In 0.000 0.169 0.000
In 0.000 0.831 0.500
In 0.500 0.328 0.279
In 0.500 0.672 0.779
Ga 0.500 0.352 0.766
Ga 0.500 0.648 0.266
Sn 0.000 0.491 0.020
Sn 0.000 0.509 0.520
Hg 0.000 0.180 0.538
Hg 0.000 0.820 0.038
Hg 0.500 0.010 0.264
Hg 0.500 0.990 0.764


(4)
RbInSb2Te: optimized geometry, PBE.

Results
- V (Å³/f.u.) = 198
- density (kg/m3) = 4789
- relative energy among the computed polymorphs (eV per formula unit) = 0.00
- ΔE_f (raw) (meV per atom) = 156
- E_tot (eV/cell) = -14.31

Unit cell a=5.735 b=5.735 c=6.023 alpha=90.00 beta=90.00 gamma=90.00
Positions (direct):
Rb 0.000 0.000 0.000
In 0.500 0.500 0.500
Sb 0.000 0.500 0.500
Sb 0.500 0.000 0.500
Te 0.500 0.500 0.000


(5)
BaCaPu2O8: optimized geometry, PBE.

Results
- V (Å³/f.u.) = 166
- density (kg/m3) = 7960
- ΔE_f (raw) (meV per atom) = -2512
- E_tot (eV/cell) = -102.40

Unit cell a=6.584 b=6.584 c=6.584 alpha=129.54 beta=129.54 gamma=74.14
Positions (direct):
Ba 0.000 0.000 0.000
Ca 0.750 0.250 0.500
Pu 0.250 0.750 0.500
Pu 0.500 0.500 0.000
O 0.162 0.133 0.552
O 0.162 0.610 0.029
O 0.390 0.419 0.552
O 0.390 0.838 0.971
O 0.581 0.133 0.971
O 0.581 0.610 0.448
O 0.867 0.419 0.029
O 0.867 0.838 0.448


(6)
Mg2In2Pb: optimized geometry, PBE.

Results
- V (Å³/f.u.) = 128
- density (kg/m3) = 6286
- relative energy among the computed polymorphs (eV per formula unit) = 0.10
- E_tot (eV/cell) = -25.00
- E_form (kJ/mol of formula units) = -12

Unit cell a=8.763 b=8.763 c=3.340 alpha=90.00 beta=90.00 gamma=90.00
Positions (direct):
Mg 0.169 0.331 0.000
Mg 0.331 0.831 0.000
Mg 0.669 0.169 0.000
Mg 0.831 0.669 0.000
In 0.129 0.629 0.500
In 0.371 0.129 0.500
In 0.629 0.871 0.500
In 0.871 0.371 0.500
Pb 0.000 0.000 0.500
Pb 0.500 0.500 0.500


(7)
Sc3In7: optimized geometry, PBE.

Results
- V (Å³/f.u.) = 231
- density (kg/m3) = 6752
- E_tot (eV/cell) = -41.45
- E_form (kJ/mol of formula units) = -317

Unit cell a=8.602 b=8.602 c=6.336 alpha=99.11 beta=99.11 gamma=29.94
Positions (direct):
Sc 0.000 0.000 0.000
Sc 0.189 0.189 0.601
Sc 0.811 0.811 0.399
In 0.000 0.000 0.500
In 0.208 0.208 0.118
In 0.392 0.392 0.702
In 0.405 0.405 0.197
In 0.595 0.595 0.803
In 0.608 0.608 0.298
In 0.792 0.792 0.882


(8)
PmDy4Y6: optimized geometry, PBE.

Results
- V (Å³/f.u.) = 383
- density (kg/m3) = 5759
- relative energy among the computed polymorphs (eV per formula unit) = 3.42
- E_tot (eV/cell) = -57.22
- E_form (kJ/mol of formula units) = 455

Unit cell a=8.501 b=8.501 c=8.501 alpha=126.61 beta=126.61 gamma=78.89
Positions (direct):
Pm 0.000 0.000 0.000
Dy 0.259 0.259 0.670
Dy 0.411 0.741 0.000
Dy 0.589 0.589 0.330
Dy 0.741 0.411 0.000
Y 0.000 0.500 0.500
Y 0.056 0.570 0.000
Y 0.430 0.430 0.487
Y 0.500 0.000 0.500
Y 0.570 0.056 0.000
Y 0.944 0.944 0.513